! RbFePd2 (PBE-GGA, optimized geometry); values from VASP
&SYSTEM
  ibrav = 0, nat = 4, ntyp = 3
/
ATOMIC_SPECIES
Rb 85.47 Rb.upf
Pd 106.42 Pd.upf
Fe 55.84 Fe.upf
CELL_PARAMETERS angstrom
-3.877 -0.834 -2.745
-3.722 3.065 0.089
-0.903 2.809 -3.815
ATOMIC_POSITIONS angstrom
Rb -4.251 2.520 -3.236
Pd -2.126 1.260 -1.618
Pd -6.377 3.780 -4.853
Fe 0.000 0.000 0.000
! Formation energy (kJ/mol of atoms): 73.62
! DFT total energy (eV per atom): -4.191